Entry 1:
Crystalline Si2RhNO at its relaxed geometry. Source: the Alexandria database, functional PBE.

The energy above the lowest structure with this stoichiometry comes out at 158.7 meV per atom.

The space group is Cm (No. 8) and the conventional cell measures 9.051, 2.840 and 5.247 Å, with angles of 90.00, 117.79 and 90.00 degrees. The inequivalent atoms are Si at (0.000, 0.000, 0.000), Si at (0.178, 0.000, 0.658), Rh at (0.207, 0.500, 0.297), N at (0.286, 0.500, 0.898) and O at (0.492, 0.500, 0.663).


Entry 2:
Crystalline BeFeCoIr2 at its relaxed geometry. Source: the Alexandria database, functional PBE.

The formation enthalpy at 0 K comes out at 1.362 eV/atom.

The space group is P4/mmm (No. 123) and the conventional cell measures 4.467, 4.467 and 4.192 Å, with angles of 90.00, 90.00 and 90.00 degrees. The inequivalent atoms are Be at (0.000, 0.000, 0.000), Fe at (0.500, 0.500, 0.000), Co at (0.500, 0.500, 0.500) and Ir at (0.000, 0.500, 0.500).


Entry 3:
Crystalline Sc8As3CS3 at its relaxed geometry. Source: the Alexandria database, functional PBE.

The value obtained for the electronic total energy is -320.94 eV/cell.

The space group is R-3m (No. 166, hexagonal axes) and the conventional cell measures 7.4415, 7.4415 and 18.5353 Å, with angles of 90.00, 90.00 and 120.00 degrees. The inequivalent atoms are Sc at (0.0000, 0.0000, 0.2491), Sc at (0.0369, 0.5184, 0.2389), As at (0.0000, 0.5000, 0.0000), C at (0.0000, 0.0000, 0.5000) and S at (0.0000, 0.5000, 0.5000).


Entry 4:
Crystalline TbEuZn at its relaxed geometry. Source: the Alexandria database, functional PBE.

The formation enthalpy at 0 K comes out at -0.175 eV/atom. The energy above the lowest structure with this stoichiometry comes out at 0.0 meV per atom.

The space group is I4mm (No. 107) and the conventional cell measures 3.682, 3.682 and 12.731 Å, with angles of 90.00, 90.00 and 90.00 degrees. The inequivalent atoms are Tb at (0.000, 0.000, 0.000), Eu at (0.000, 0.000, 0.723) and Zn at (0.000, 0.000, 0.378).


Entry 5:
Crystalline AsPC2 at its relaxed geometry. Source: the Alexandria database, functional PBE.

The formation enthalpy at 0 K comes out at 0.639 eV/atom. The energy above the lowest structure with this stoichiometry comes out at 96.2 meV per atom.

The space group is Cm (No. 8) and the conventional cell measures 7.262, 3.085 and 4.755 Å, with angles of 90.00, 101.50 and 90.00 degrees. The inequivalent atoms are As at (0.000, 0.000, 0.000), P at (0.171, 0.500, 0.506), C at (0.249, 0.000, 0.320) and C at (0.436, 0.000, 0.240).


Entry 6:
Crystalline NaAgTe4As2 at its relaxed geometry. Source: the Alexandria database, functional PBE.

The value obtained for the electronic total energy is -52.87 eV/cell.

The space group is I222 (No. 23) and the conventional cell measures 6.477, 8.454 and 8.802 Å, with angles of 90.00, 90.00 and 90.00 degrees. The inequivalent atoms are Na at (0.000, 0.000, 0.000), Ag at (0.000, 0.000, 0.500), Te at (0.169, 0.206, 0.269) and As at (0.000, 0.500, 0.147).


no.,M_tot (μB/atom)
1,0.000
2,1.228
3,0.000
4,2.462
5,0.000
6,0.000